# Dy4Er5Tm3 PBE optimized geometry
# ΔE to the lowest computed polymorph: 21.9 kJ per mole of atoms
# crystal system: monoclinic
# energy: -4.3037 eV/atom
data_Dy4Er5Tm3
_symmetry_space_group_name_H-M 'C 1 2/m 1'
_symmetry_Int_Tables_number 12
_cell_length_a 15.854
_cell_length_b 5.799
_cell_length_c 9.163
_cell_angle_alpha 90.00
_cell_angle_beta 116.57
_cell_angle_gamma 90.00
loop_
_symmetry_equiv_pos_as_xyz
'x,y,z'
'-x,-y,-z'
'-x,y,-z'
'x,-y,z'
'x+1/2,y+1/2,z'
'-x+1/2,-y+1/2,-z'
'-x+1/2,y+1/2,-z'
'x+1/2,-y+1/2,z'
loop_
_atom_site_label
_atom_site_type_symbol
_atom_site_fract_x
_atom_site_fract_y
_atom_site_fract_z
Dy1 Dy 0.081 0.000 0.441
Dy2 Dy 0.214 0.000 0.879
Er1 Er 0.000 0.000 0.000
Er2 Er 0.073 0.500 0.702
Er3 Er 0.172 0.500 0.385
Tm1 Tm 0.000 0.500 0.000
Tm2 Tm 0.210 0.000 0.234